# Fe3SeF | Alexandria | PBE+U | optimized geometry
data_Fe3SeF
_chemical_formula_sum 'Fe3 Se1 F1'
_cell_length_a 4.222
_cell_length_b 4.222
_cell_length_c 4.222
_cell_angle_alpha 90.00
_cell_angle_beta 90.00
_cell_angle_gamma 90.00
_space_group_name_H-M_alt 'P m -3 m'
_space_group_IT_number 221
_space_group_name_Hall '-P 4 2 3'
loop_
_atom_site_label
_atom_site_type_symbol
_atom_site_fract_x
_atom_site_fract_y
_atom_site_fract_z
_atom_site_occupancy
Fe1 Fe 0.000 0.000 0.500 1
Se1 Se 0.500 0.500 0.500 1
F1 F 0.000 0.000 0.000 1
# - Calculated volume: 15.06 Å³/atom
# - D(E_F): 3.48 states/eV/cell
# - Crystal system: cubic
# - Raw total energy: -20.24 eV/cell